Density functional theory data (GGA-PBE) for a geometry-optimized AsNClF2 structure.

## Properties
Mass density   3.701 g/cm³
Uncorrected energy   -3.7948 eV/atom
Space-group type   P4/mmm (123)
Energy relative to the elements, uncorrected   -82 meV per atom

```
data_AsNClF2
_chemical_formula_sum 'As1 N1 Cl1 F2'
_cell_length_a 4.012
_cell_length_b 4.012
_cell_length_c 4.526
_cell_angle_alpha 90.00
_cell_angle_beta 90.00
_cell_angle_gamma 90.00
_space_group_name_H-M_alt 'P 1'
_space_group_IT_number 1
loop_
_space_group_symop_operation_xyz
'x,y,z'
loop_
_atom_site_label
_atom_site_fract_x
_atom_site_fract_y
_atom_site_fract_z
As1 0.000 0.000 0.000
N1 0.000 0.000 0.500
Cl1 0.500 0.500 0.500
F1 0.000 0.500 0.000
F2 0.500 0.000 0.000
```